LaW2Se GGA-PBE relaxed; energy above the lowest structure with this stoichiometry = 254.2 meV/atom; uncorrected formation energy = 323 meV per atom; DOS(E_F) = 0.73 states/eV per atom
1.0
1.7064 -2.5719 0.0000
1.7064 2.5719 0.0000
0.0000 0.0000 9.1937
La W Se
1 2 1
Cartesian
0.0000 0.0000 0.0000
0.0000 0.0000 4.5396
1.7064 0.0000 2.6303
1.7064 0.0000 6.6349